1.
A relaxed structure of KZrAs2Se. Source: Alexandria via LeMat-Bulk, functional GGA-PBE.

Cell lengths 5.269, 5.269, 5.332 Å; angles 90.00, 90.00, 90.00 degrees
Fractional coordinates of all 5 atoms:
K  0.500  0.500  0.500
As  0.500  0.000  0.000
As  0.000  0.500  0.000
Se  0.000  0.000  0.500
Zr  0.000  0.000  0.000

Summary:
ΔE_f (raw)	-47	kJ/mol of atoms
E above lowest polymorph	0	meV/atom
symmetry	P4/mmm (123)

***

2.
A relaxed structure of Sc3CuRe. Source: Alexandria via LeMat-Bulk, functional GGA-PBE.

Cell lengths 4.761, 4.761, 4.761 Å; angles 90.00, 90.00, 90.00 degrees
Last column: magnetic moment on the atom in μB.
Fractional coordinates of all 5 atoms:
Sc  0.000  0.500  0.000  -0.04
Sc  0.000  0.000  0.500  -0.02
Sc  0.500  0.000  0.000  -0.05
Cu  0.000  0.000  0.000  0.00
Re  0.500  0.500  0.500  0.86

Summary:
formation energy from the elements	745	meV/atom
E above lowest polymorph	265	meV/atom
symmetry	Pm-3m (221)

***

3.
A relaxed structure of Sr3Zn3Ga. Source: Alexandria via LeMat-Bulk, functional GGA-PBE.

Cell lengths 4.682, 6.174, 15.082 Å; angles 86.26, 81.07, 67.72 degrees
Fractional coordinates of all 14 atoms:
Zn  0.136  0.270  0.458
Zn  0.935  0.893  0.237
Zn  0.905  0.111  0.079
Zn  0.065  0.107  0.763
Zn  0.095  0.889  0.921
Zn  0.864  0.730  0.542
Sr  0.396  0.287  0.921
Sr  0.764  0.708  0.765
Sr  0.604  0.713  0.079
Sr  0.547  0.298  0.607
Sr  0.236  0.292  0.235
Sr  0.453  0.702  0.393
Ga  0.749  0.107  0.395
Ga  0.251  0.893  0.605

Summary:
formation energy from the elements	-271	meV/atom
symmetry	C2/m (12)

***

4.
A relaxed structure of NdNpIrPt. Source: Alexandria via LeMat-Bulk, functional GGA-PBE.

Cell lengths 4.972, 4.972, 4.972 Å; angles 60.00, 60.00, 60.00 degrees
Last column: magnetic moment on the atom in μB.
Fractional coordinates of all 4 atoms:
Ir  0.250  0.250  0.250  -0.22
Pt  0.750  0.750  0.750  -0.06
Nd  0.500  0.500  0.500  0.14
Np  0.000  0.000  0.000  3.81

Summary:
formation energy from the elements	-506	meV/atom
symmetry	F-43m (216)

***

5.
A relaxed structure of YCu2GeO. Source: Alexandria via LeMat-Bulk, functional GGA-PBE.

Cell lengths 4.188, 4.511, 4.188 Å; angles 90.00, 90.00, 90.00 degrees
Fractional coordinates of all 5 atoms:
Cu  0.000  0.000  0.500
Cu  0.500  0.000  0.000
Y  0.000  0.500  0.000
O  0.000  0.000  0.000
Ge  0.500  0.500  0.500

Summary:
ΔE_f (raw)	-65	kJ/mol of atoms
symmetry	P4/mmm (123)

***

6.
A relaxed structure of Zn3In3Ga. Source: Alexandria via LeMat-Bulk, functional GGA-PBE.

Cell lengths 7.582, 7.582, 7.582 Å; angles 90.00, 90.00, 90.00 degrees
Fractional coordinates of all 14 atoms:
In  0.500  0.000  0.750
In  0.750  0.500  0.000
In  0.250  0.500  0.000
In  0.500  0.000  0.250
In  0.000  0.750  0.500
In  0.000  0.250  0.500
Zn  0.000  0.500  0.750
Zn  0.250  0.000  0.500
Zn  0.500  0.250  0.000
Zn  0.500  0.750  0.000
Zn  0.750  0.000  0.500
Zn  0.000  0.500  0.250
Ga  0.000  0.000  0.000
Ga  0.500  0.500  0.500

Summary:
formation energy from the elements	465	meV/atom
symmetry	Pm-3n (223)

***

7.
A relaxed structure of SrLi2AsSe4. Source: Alexandria via LeMat-Bulk, functional GGA-PBE.

Cell lengths 7.035, 6.427, 6.427 Å; angles 78.56, 56.81, 56.81 degrees
Fractional coordinates of all 8 atoms:
As  0.000  0.500  0.500
Sr  0.000  0.000  0.000
Se  0.000  0.880  0.528
Se  0.408  0.120  0.472
Se  0.592  0.528  0.880
Se  0.000  0.472  0.120
Li  0.500  0.250  0.750
Li  0.500  0.750  0.250

Summary:
ΔE_f (raw)	-94	kJ/mol of atoms
symmetry	I-42m (121)

***

8.
A relaxed structure of BaNaMnN3. Source: Alexandria via LeMat-Bulk, functional GGA-PBE.

Cell lengths 5.486, 5.960, 6.154 Å; angles 61.03, 87.86, 85.57 degrees
Last column: magnetic moment on the atom in μB.
Fractional coordinates of all 12 atoms:
N  0.014  0.211  0.969  -0.08
N  0.986  0.789  0.031  -0.08
N  0.750  0.214  0.571  -0.04
N  0.486  0.819  0.969  -0.08
N  0.514  0.181  0.031  -0.08
N  0.250  0.786  0.429  -0.04
Na  0.750  0.438  0.125  0.00
Na  0.250  0.562  0.875  0.00
Ba  0.250  0.246  0.508  0.01
Ba  0.750  0.754  0.492  0.01
Mn  0.250  0.942  0.116  1.20
Mn  0.750  0.058  0.884  1.20

Summary:
ΔE_f (raw)	-29	kJ/mol of atoms
symmetry	C2/c (15)